A relaxed structure of NaHoGe2Br8. Source: the Alexandria database, functional PBE. Values from VASP.

Structure (Quantum ESPRESSO input):
```
&SYSTEM
  ibrav = 0, nat = 12, ntyp = 4
/
ATOMIC_SPECIES
Na 22.99 Na.upf
Ho 164.93 Ho.upf
Ge 72.64 Ge.upf
Br 79.90 Br.upf
ATOMIC_POSITIONS angstrom
Na 0.0000 0.0000 0.0000
Ho 0.0586 0.1096 4.2631
Ge 3.2746 3.3693 2.0667
Ge 3.7027 3.8602 6.4595
Br 1.7456 5.8422 2.2385
Br 1.7621 2.3640 4.0976
Br 1.9531 6.1105 6.3041
Br 1.9130 2.4426 0.1407
Br 5.0643 4.7869 8.3854
Br 5.0242 1.1190 2.2220
Br 5.2153 4.8655 4.4285
Br 5.2317 1.3873 6.2876
CELL_PARAMETERS angstrom
6.6037 0.0000 0.0000
0.2564 7.0103 0.0000
0.1173 0.2191 8.5261
```

Values from the calculation:
For the formation energy (no corrections), the calculation gives -1.132 eV/atom. The total magnetic moment is 0.0 μB per cell. The value obtained for the density of states at the Fermi level is 0.000 states/eV per atom.